SrLiInAg | PBE | relaxed

```
SrLiInAg
1.0
5.425 0.000 0.000
-2.713 2.667 0.416
0.000 -1.099 7.065
Sr In Ag Li
1 1 1 1
Direct
0.974 0.948 0.670
0.974 0.948 0.179
0.474 0.949 0.398
0.474 0.947 0.009
```

V   104.7 Å³/cell
N(E_F)   2.37 states/eV/f.u.
SG   No. 35
Calculated formation energy   -0.63 eV per formula unit

MgMoS2N | PBE | relaxed

```
MgMoS2N
1.0
4.844 0.000 0.000
0.000 4.844 0.000
0.000 0.000 3.794
Mo Mg N S
1 1 1 2
Direct
0.000 0.000 0.000
0.500 0.500 0.500
0.000 0.000 0.500
0.000 0.500 0.000
0.500 0.000 0.000
```

E above lowest polymorph   0.00 eV/f.u.
Uncorrected formation energy   -4.74 kcal/mol of atoms
V   89.0 Å³/cell
N(E_F)   1.29 states/eV/f.u.
SG   No. 123

AlSbTe2 | PBE | relaxed

```
AlSbTe2
1.0
4.242 0.000 0.000
0.000 5.296 0.001
0.000 1.678 5.024
Te Al Sb
2 1 1
Direct
0.000 0.482 0.482
0.000 0.018 0.018
0.500 0.250 0.250
0.500 0.750 0.750
```

E above lowest polymorph   0.36 eV/f.u.
Uncorrected formation energy   0.06 kcal/mol of atoms
V   112.9 Å³/cell
N(E_F)   1.94 states/eV/f.u.
SG   No. 65

VHgTe2 | PBE | relaxed

```
VHgTe2
1.0
-7.158 -0.024 0.306
-0.312 -3.213 -7.554
0.135 -6.283 2.667
Hg Te V
4 8 4
Direct
0.533 0.500 0.888
0.967 0.000 0.388
0.467 0.500 0.388
0.033 0.000 0.888
0.133 0.693 0.674
0.867 0.693 0.174
0.633 0.193 0.674
0.867 0.307 0.174
0.367 0.807 0.174
0.367 0.193 0.174
0.633 0.807 0.674
0.133 0.307 0.674
0.348 0.000 0.513
0.652 0.000 0.013
0.848 0.500 0.513
0.152 0.500 0.013
```

Uncorrected formation energy   1.66 kcal/mol of atoms
V   401.8 Å³/cell
N(E_F)   4.25 states/eV/f.u.
SG   No. 36

Pu5Si2Ni12 | PBE | relaxed

```
Pu5Si2Ni12
1.0
5.822 -0.060 0.518
-0.209 5.719 3.013
0.016 -0.677 8.228
Pu Ni Si
5 12 2
Direct
0.500 0.000 0.000
0.596 0.763 0.474
0.404 0.237 0.526
0.058 0.691 0.617
0.942 0.309 0.383
0.650 0.212 0.193
0.254 0.666 0.287
0.698 0.548 0.904
0.068 0.092 0.816
0.746 0.334 0.713
0.350 0.405 0.807
0.350 0.788 0.807
0.746 0.953 0.713
0.650 0.595 0.193
0.302 0.452 0.096
0.254 0.047 0.287
0.932 0.908 0.184
0.000 0.286 0.000
0.000 0.714 0.000
```

Uncorrected formation energy   -5.48 kcal/mol of atoms
V   285.7 Å³/cell
N(E_F)   50.46 states/eV/f.u.
SG   No. 12

Er4AsSe3 | PBE | relaxed

```
Er4AsSe3
1.0
5.719 0.000 0.000
0.000 5.719 0.000
0.000 0.000 5.719
Se Er As
3 4 1
Direct
0.500 0.500 0.000
0.500 0.000 0.500
0.000 0.500 0.500
0.500 0.500 0.500
0.000 0.500 0.000
0.000 0.000 0.500
0.500 0.000 0.000
0.000 0.000 0.000
```

Uncorrected formation energy   -39.13 kcal/mol of atoms
V   187.1 Å³/cell
N(E_F)   1.55 states/eV/f.u.
SG   No. 221

DyHoO2 | PBE | relaxed

```
DyHoO2
1.0
-2.063 0.725 -2.874
-3.038 -1.869 -0.560
-5.002 3.948 2.318
Ho O Dy
1 2 1
Direct
0.000 0.000 0.000
0.113 0.113 0.661
0.887 0.887 0.339
0.500 0.500 0.500
```

Uncorrected formation energy   -67.63 kcal/mol of atoms
V   72.9 Å³/cell
N(E_F)   0.98 states/eV/f.u.
SG   No. 166

TlP2PbCl | PBE | relaxed

```
TlP2PbCl
1.0
5.738 0.000 0.000
0.000 5.738 0.000
0.000 0.000 5.960
Pb P Cl Tl
1 2 1 1
Direct
0.000 0.000 0.000
0.000 0.500 0.000
0.500 0.000 0.000
0.000 0.000 0.500
0.500 0.500 0.500
```

E above lowest polymorph   0.00 eV/f.u.
Uncorrected formation energy   13.01 kcal/mol of atoms
V   196.2 Å³/cell
N(E_F)   4.33 states/eV/f.u.
SG   No. 123